1.
First-principles (PBE-GGA) data for a geometry-optimized La2NdDy5Sc structure, as listed in the Alexandria database.

abc: 5.6234 10.3330 10.5248
angles: 90.00 90.00 105.79
Sites, in units of the cell vectors:
La (0.8851, 0.7701, 0.8128)
La (0.1161, 0.2321, 0.7333)
La (0.1149, 0.2299, 0.3128)
La (0.8839, 0.7679, 0.2333)
Nd (0.5887, 0.1774, 0.9629)
Nd (0.4113, 0.8226, 0.4629)
Dy (0.3752, 0.7505, 0.0182)
Dy (0.7229, 0.4457, 0.8207)
Dy (0.4839, 0.9678, 0.7417)
Dy (0.2949, 0.5899, 0.7033)
Dy (0.9850, 0.9700, 0.5182)
Dy (0.6248, 0.2495, 0.5182)
Dy (0.2771, 0.5543, 0.3207)
Dy (0.5161, 0.0322, 0.2417)
Dy (0.7051, 0.4101, 0.2033)
Dy (0.0150, 0.0300, 0.0182)
Sc (0.8009, 0.6019, 0.5128)
Sc (0.1991, 0.3981, 0.0128)

total magnetization = 0.000 μB per atom
calculated density = 7.22 g/cm³
ΔH_f (0 K) = 155 meV/atom
E_tot = -4.73 eV per atom
crystal system = orthorhombic
space group = Cmc2_1 (36)



2.
First-principles (PBE-GGA) data for a geometry-optimized LaOsPt2 structure, as listed in the Alexandria database.

abc: 5.1635 5.1635 5.1635
angles: 131.88 131.88 70.42
Each line ends with the local moment (μB).
Sites, in units of the cell vectors:
La (0.5000, 0.5000, 0.0000)  0.02
Os (0.7500, 0.2500, 0.5000)  0.41
Pt (0.0000, 0.0000, 0.0000)  0.11
Pt (0.2500, 0.7500, 0.5000)  0.05

total magnetization = 0.153 μB per atom
calculated density = 15.97 g/cm³
ΔH_f (0 K) = -43 meV/atom
E above lowest polymorph = 36.5 kJ/mol of atoms
E_tot = -7.10 eV per atom
crystal system = tetragonal
space group = I-4m2 (119)



3.
First-principles (PBE-GGA) data for a geometry-optimized CdTe2Pb2 structure, as listed in the Alexandria database.

abc: 5.6981 5.6981 7.2393
angles: 66.82 66.82 90.00
Sites, in units of the cell vectors:
Pb (0.3600, 0.3600, 0.2801)
Pb (0.6400, 0.6400, 0.7199)
Te (0.7500, 0.2500, 0.5000)
Te (0.2500, 0.7500, 0.5000)
Cd (0.0000, 0.0000, 0.0000)

total magnetization = 0.000 μB per atom
calculated density = 6.65 g/cm³
E above lowest polymorph = 8.1 kJ/mol of atoms
E_tot = -2.97 eV per atom
energy relative to the elements, uncorrected = -0.0452 eV/atom
crystal system = tetragonal
space group = I4/mmm (139)



4.
First-principles (PBE-GGA) data for a geometry-optimized NaAcUO4 structure, as listed in the Alexandria database.

abc: 7.0416 7.3649 7.7202
angles: 121.61 90.00 118.56
Each line ends with the local moment (μB).
Sites, in units of the cell vectors:
Na (0.9050, 0.8099, 0.1550)  0.00
Na (0.0950, 0.1901, 0.8450)  0.00
Ac (0.5000, 0.0000, 0.5000)  0.03
Ac (0.5000, 0.0000, 0.0000)  0.03
U (0.5000, 0.5000, 0.5000)  1.85
U (0.0000, 0.5000, 0.5000)  1.85
O (0.7397, 0.4795, 0.6774)  -0.04
O (0.3099, 0.0748, 0.2874)  -0.03
O (0.7649, 0.0748, 0.2874)  -0.03
O (0.7397, 0.4795, 0.3021)  -0.04
O (0.2603, 0.5205, 0.6979)  -0.04
O (0.6901, 0.9252, 0.7126)  -0.03
O (0.2351, 0.9252, 0.7126)  -0.03
O (0.2603, 0.5205, 0.3226)  -0.04

total magnetization = 0.281 μB per atom
calculated density = 6.50 g/cm³
E_tot = -8.03 eV per atom
energy relative to the elements, uncorrected = -2.8046 eV/atom
crystal system = orthorhombic
space group = Imma (74)